A relaxed structure of CsCaCoO3, computed with GGA+U.

Cell: 13.067 3.818 8.216 Å, 90.00 104.86 90.00°
Space group C2/m (No. 12)
Inequivalent atoms, fractional coordinates:
Cs1 0.145 0.000 0.071
Ca1 0.153 0.000 0.569
Co1 0.008 0.500 0.312
O1 0.008 0.000 0.319
O2 0.135 0.500 0.749
O3 0.155 0.500 0.378

VASP energy in eV per atom: -5.478
Magnetic moment in μB per atom: 0.474